# GGA+U TlMo3O, optimized geometry
data_TlMo3O
_cell_length_a 5.582
_cell_length_b 5.582
_cell_length_c 5.582
_cell_angle_alpha 90.00
_cell_angle_beta 90.00
_cell_angle_gamma 90.00
_symmetry_space_group_name_H-M 'P m -3 m'
_symmetry_Int_Tables_number 221
_symmetry_space_group_name_Hall '-P 4 2 3'
loop_
_atom_site_label
_atom_site_fract_x
_atom_site_fract_y
_atom_site_fract_z
Tl1 0.000 0.000 0.000
Mo1 0.000 0.000 0.500
O1 0.500 0.500 0.500
# - E above lowest polymorph (eV per atom) = 1.460
# - total magnetic moment (μB/atom) = 2.52
# - calculated total energy (eV per cell) = -17.4